No. 1
In2SbAu4: optimized geometry, PBE-GGA.

The energy relative to the lowest polymorph listed for this composition comes out at 0.0 meV per atom. The crystal system is monoclinic. For the total energy, the calculation gives -3.34 eV per atom.

It has space group P2_1/m (No. 11), with a = 6.689 Å, b = 5.706 Å, c = 8.585 Å, α = 90.00°, β = 106.90° and γ = 90.00°. The distinct sites, in fractional coordinates, are In at (0.057, 0.250, 0.328), In at (0.218, 0.750, 0.088), Sb at (0.415, 0.750, 0.540), Au at (0.007, 0.750, 0.347), Au at (0.223, 0.250, 0.055) and Au at (0.371, 0.002, 0.810).

=====

No. 2
InSbAu14: optimized geometry, PBE-GGA.

The crystal system is orthorhombic. For the total energy, the calculation gives -3.28 eV per atom.

It has space group Amm2 (No. 38), with a = 9.570 Å, b = 6.126 Å, c = 10.264 Å, α = 90.00°, β = 90.00° and γ = 90.00°. The distinct sites, in fractional coordinates, are In at (0.000, 0.000, 0.000), Sb at (0.000, 0.000, 0.499), Au at (0.000, 0.248, 0.751), Au at (0.249, 0.000, 0.171), Au at (0.255, 0.000, 0.671), Au at (0.256, 0.248, 0.920), Au at (0.500, 0.000, 0.001), Au at (0.500, 0.000, 0.500) and Au at (0.500, 0.247, 0.248).

=====

No. 3
InSbAu2: optimized geometry, PBE-GGA.

The energy relative to the lowest polymorph listed for this composition comes out at 159.7 meV per atom. The crystal system is tetragonal. For the total energy, the calculation gives -3.32 eV per atom.

It has space group I4/mmm (No. 139), with a = 4.607 Å, b = 4.607 Å, c = 8.245 Å, α = 90.00°, β = 90.00° and γ = 90.00°. The distinct sites, in fractional coordinates, are In at (0.000, 0.000, 0.000), Sb at (0.000, 0.000, 0.500) and Au at (0.000, 0.500, 0.250).

=====

No. 4
InSb3Au: optimized geometry, PBE-GGA.

The energy relative to the lowest polymorph listed for this composition comes out at 0.0 meV per atom. The crystal system is cubic. For the total energy, the calculation gives -3.18 eV per atom.

It has space group Pm-3m (No. 221), with a = 5.472 Å, b = 5.472 Å, c = 5.472 Å, α = 90.00°, β = 90.00° and γ = 90.00°. The distinct sites, in fractional coordinates, are In at (0.000, 0.000, 0.000), Sb at (0.000, 0.500, 0.500) and Au at (0.500, 0.500, 0.500).

=====

Calculated values (meV per atom) of formation energy without anion corrections for the records, taken in order: -100 14 38 497.
Calculated values (μB/atom) of size of the total moment for the records, taken in order: 0.000 0.000 0.000 0.000.